Material: Sr3Tl3In
Method: DFT, PBE
State: optimized geometry

Summary:
- crystal system = monoclinic
- DFT total energy (eV/f.u.) = -17.59
- E_form (kJ per mole of atoms) = -37.4

a = 12.5063 Å, b = 4.8189 Å, c = 17.0716 Å
α = 90.00°, β = 108.93°, γ = 90.00°
Space group C2/m (No. 12)
Asymmetric unit:
Sr  0.0241  0.0000  0.3824 x4
Sr  0.1051  0.0000  0.9237 x4
Sr  0.2372  0.0000  0.2275 x4
Tl  0.0182  0.5000  0.2298 x4
Tl  0.1163  0.5000  0.0760 x4
Tl  0.1398  0.5000  0.5340 x4
In  0.2330  0.5000  0.3820 x4